1.
The following is a PBE-GGA calculation of crystalline NaLi3Be at its relaxed geometry, from Alexandria via LeMat-Bulk.

Structure (POSCAR):
```
NaLi3Be
1.0
4.813 0.000 0.000
0.000 4.813 0.000
0.000 0.000 4.813
Na Li Be
1 3 1
direct
0.000 0.000 0.000
0.000 0.500 0.500
0.500 0.000 0.500
0.500 0.500 0.000
0.500 0.500 0.500
```

Calculated values
ρ: 0.787 Mg/m³
Space group: Pm-3m
Formation energy: 0.355 eV/atom
Volume: 22.295 Å³/atom
E_tot: -9.0 eV for the cell shown



2.
The following is a PBE-GGA calculation of crystalline Rb4B9S9 at its relaxed geometry, from Alexandria via LeMat-Bulk.

Structure (POSCAR):
```
Rb4B9S9
1.0
10.216 0.000 0.000
-3.597 9.767 0.000
-2.921 -1.447 10.403
Rb B S
8 18 18
direct
0.120 0.381 0.130
0.145 0.007 0.370
0.243 0.623 0.473
0.306 0.380 0.760
0.694 0.620 0.240
0.757 0.377 0.527
0.855 0.993 0.630
0.880 0.619 0.870
0.131 0.818 0.686
0.170 0.767 0.142
0.332 0.967 0.016
0.365 0.856 0.912
0.373 0.022 0.872
0.435 0.265 0.247
0.437 0.867 0.082
0.453 0.140 0.020
0.492 0.043 0.147
0.508 0.957 0.853
0.547 0.860 0.980
0.563 0.133 0.918
0.565 0.735 0.753
0.627 0.978 0.128
0.635 0.144 0.088
0.668 0.033 0.984
0.830 0.233 0.858
0.869 0.182 0.314
0.023 0.259 0.451
0.027 0.664 0.200
0.153 0.910 0.050
0.209 0.714 0.797
0.222 0.010 0.725
0.340 0.731 0.169
0.412 0.290 0.075
0.422 0.384 0.358
0.477 0.113 0.300
0.523 0.887 0.700
0.578 0.616 0.642
0.588 0.710 0.925
0.660 0.269 0.831
0.778 0.990 0.275
0.791 0.286 0.203
0.847 0.090 0.950
0.973 0.336 0.800
0.977 0.741 0.549
```

Calculated values
ρ: 2.328 Mg/m³
Space group: P-1
Volume: 23.593 Å³/atom
E_tot: -236.1 eV for the cell shown
Formation energy (no corrections): -0.771 eV/atom